Record 1
First-principles (PBE) data for a geometry-optimized NaCa2SbO structure, as listed in Alexandria.

Structure (POSCAR):
```
NaCa2SbO
1.0
4.806 0.000 0.000
0.000 4.806 0.000
0.000 0.000 4.692
Na Ca Sb O
1 2 1 1
Direct
0.000 0.000 0.000 Na
0.000 0.500 0.500 Ca
0.500 0.000 0.500 Ca
0.500 0.500 0.000 Sb
0.000 0.000 0.500 O
```

Computed properties:
The value obtained for the total magnetic moment is 0.000 μB per atom. The energy comes out at -4.509 eV/atom.

***

Record 2
First-principles (PBE) data for a geometry-optimized MnAlTl2 structure, as listed in Alexandria.

Structure (POSCAR):
```
MnAlTl2
1.0
-2.128 2.128 4.828
2.128 -2.128 4.828
2.128 2.128 -4.828
Mn Al Tl
1 1 2
Direct
0.000 0.000 0.000 Mn
0.750 0.250 0.500 Al
0.250 0.750 0.500 Tl
0.500 0.500 0.000 Tl
```

Computed properties:
The value obtained for the total magnetic moment is 0.931 μB per atom. For the energy above the lowest structure with this stoichiometry, the calculation gives 0.201 eV/atom.

***

Record 3
First-principles (PBE) data for a geometry-optimized ZnAgHgF2 structure, as listed in Alexandria.

Structure (POSCAR):
```
ZnAgHgF2
1.0
3.947 0.000 0.000
0.000 3.947 0.000
0.000 0.000 6.093
Zn Ag Hg F
1 1 1 2
Direct
0.000 0.000 0.000 Zn
0.000 0.000 0.500 Ag
0.500 0.500 0.500 Hg
0.000 0.500 0.000 F
0.500 0.000 0.000 F
```

Computed properties:
The value obtained for the total magnetic moment is 0.000 μB per atom. The energy comes out at -2.727 eV/atom.

***

Record 4
First-principles (PBE) data for a geometry-optimized YNb2Ga2 structure, as listed in Alexandria.

Structure (POSCAR):
```
YNb2Ga2
1.0
-1.992 1.992 6.275
1.992 -1.992 6.275
1.992 1.992 -6.275
Y Nb Ga
1 2 2
Direct
0.000 0.000 0.000 Y
0.250 0.750 0.500 Nb
0.750 0.250 0.500 Nb
0.402 0.402 0.000 Ga
0.598 0.598 0.000 Ga
```

Computed properties:
The value obtained for the total magnetic moment is 0.000 μB per atom. For the energy above the lowest structure with this stoichiometry, the calculation gives 0.000 eV/atom.

***

Record 5
First-principles (PBE) data for a geometry-optimized Cs3K2Na2 structure, as listed in Alexandria.

Structure (POSCAR):
```
Cs3K2Na2
1.0
6.365 -3.660 0.000
6.365 3.660 0.000
-4.245 0.000 11.360
Cs K Na
3 2 2
Direct
0.000 0.000 0.000 Cs
0.139 0.139 0.418 Cs
0.861 0.861 0.582 Cs
0.405 0.405 0.214 K
0.595 0.595 0.786 K
0.273 0.273 0.820 Na
0.727 0.727 0.180 Na
```

Computed properties:
The value obtained for the total magnetic moment is 0.000 μB per atom. The energy comes out at -1.028 eV/atom.

***

Record 6
First-principles (PBE) data for a geometry-optimized Al2InGe structure, as listed in Alexandria.

Structure (POSCAR):
```
Al2InGe
1.0
-3.338 3.338 4.790
3.338 -3.338 4.790
3.338 3.338 -4.790
Al In Ge
4 2 2
Direct
0.084 0.625 0.959 Al
0.375 0.334 0.459 Al
0.666 0.125 0.041 Al
0.875 0.916 0.541 Al
0.250 0.750 0.500 In
0.500 0.500 0.000 In
0.000 0.000 0.000 Ge
0.750 0.250 0.500 Ge
```

Computed properties:
The value obtained for the total magnetic moment is 0.000 μB per atom. For the energy above the lowest structure with this stoichiometry, the calculation gives 0.201 eV/atom.